The following is a DFT calculation (PBE with a Hubbard U) of an optimized crystal structure of K2PrMnO4.

Summary:
Energy: -6.238 eV/atom
Symmetry: P2/m
D(E_F): 0.00 states/eV per atom
Spin magnetization: 4.00 μB per formula unit

Cell and atoms, written as extended XYZ:
```
8
Lattice="5.791 0.000 0.000 0.000 3.560 0.000 -1.986 0.000 6.211" Properties=species:S:1:pos:R:3 pbc="T T T"
K 0.000 0.000 0.000
K 2.896 1.780 0.000
Pr -0.993 1.780 3.105
Mn 1.902 0.000 3.105
O 0.235 0.000 4.190
O 1.016 1.780 1.886
O 2.789 1.780 4.325
O 3.570 0.000 2.020
```